No. 1
Material: La8Bi3Te4I
Method: DFT, PBE
State: relaxed

Cell lengths 9.2644, 9.2644, 22.7315 Å; angles 90.00, 90.00, 120.00 degrees
Space group R-3m (No. 166, hexagonal axes)
One atom of each set of equivalent atoms:
La  0.0000  0.0000  0.2495
La  0.0093  0.5046  0.2468
Bi  0.0000  0.5000  0.0000
Te  0.0000  0.0000  0.5000
Te  0.0000  0.5000  0.5000
I  0.0000  0.0000  0.0000

**Uncorrected formation energy**: -1.334 eV per atom

***

No. 2
Material: CePu2Sb2P
Method: DFT, PBE
State: relaxed

Cell lengths 5.268, 5.268, 6.504 Å; angles 90.00, 90.00, 90.00 degrees
Space group P4/mmm (No. 123)
One atom of each set of equivalent atoms:
Ce  0.000  0.000  0.000
Pu  0.000  0.500  0.500
Sb  0.500  0.500  0.221
P  0.000  0.000  0.500

**Uncorrected formation energy**: -0.557 eV per atom

***

No. 3
Material: Ac2YH8
Method: DFT, PBE
State: relaxed

Cell lengths 4.046, 5.424, 12.107 Å; angles 90.00, 90.00, 90.00 degrees
Space group Immm (No. 71)
One atom of each set of equivalent atoms:
Ac  0.000  0.000  0.169
Y  0.000  0.000  0.500
H  0.000  0.243  0.353
H  0.000  0.271  0.000
H  0.000  0.500  0.185

**Total energy**: -4.339 eV/atom

***

No. 4
Material: La3Cd9Pd2
Method: DFT, PBE
State: relaxed

Cell lengths 4.979, 10.391, 13.080 Å; angles 90.00, 90.00, 90.00 degrees
Space group Immm (No. 71)
One atom of each set of equivalent atoms:
La  0.000  0.000  0.000
La  0.000  0.000  0.301
Cd  0.000  0.281  0.134
Cd  0.000  0.362  0.357
Cd  0.000  0.500  0.000
Pd  0.000  0.151  0.500

**E_form**: -387 meV per atom

***

Size of the total moment? In order: 0.00 9.83 0.00 0.00 μB/cell.